## A
A plane-wave DFT calculation with PBE-GGA was carried out for a relaxed NdPuZn4 crystal.

Cell lengths 5.5319, 5.5319, 5.5319 Å; angles 60.00, 60.00, 60.00 degrees
Atoms (fractional coordinates):
Zn 0.6253 0.6253 0.1241
Zn 0.1241 0.6253 0.6253
Zn 0.6253 0.6253 0.6253
Zn 0.6253 0.1241 0.6253
Pu 0.2500 0.2500 0.2500
Nd 0.0000 0.0000 0.0000

Output
Crystal system: cubic
SG: F-43m (216)
Calculated density in g cm⁻³: 9.015



## B
A plane-wave DFT calculation with PBE-GGA was carried out for a relaxed NdPuZn4 crystal.

Cell lengths 4.1622, 4.1622, 8.2483 Å; angles 104.61, 104.61, 90.00 degrees
Atoms (fractional coordinates):
Zn 0.6687 0.1687 0.3373
Zn 0.4175 0.4175 0.8349
Zn 0.5825 0.5825 0.1651
Zn 0.8313 0.3313 0.6627
Nd 0.0000 0.0000 0.0000
Pu 0.2500 0.7500 0.5000

Output
Crystal system: tetragonal
SG: I-4m2 (119)
Calculated density in g cm⁻³: 8.084



Most stable structure: A